This record from the Alexandria database describes a relaxed structure of FeSbSN2. The functional is PBE-GGA.

Mass density: 5.906 Mg/m³
Electronic total energy: -5.86 eV per atom
Formation energy from raw total energies: 0.814 eV/atom
Total magnetic moment: 0.00 Bohr magnetons per cell
Calculated volume: 67 Å³ per cell

Cell: 3.744 3.744 4.766 Å, 90.00 90.00 90.00°
Fractional positions:
Fe 0.000 0.000 0.000
Sb 0.500 0.500 0.500
S 0.000 0.000 0.500
N 0.000 0.500 0.000
N 0.500 0.000 0.000

=====

This record from the Alexandria database describes a relaxed structure of Rb6IO2. The functional is PBE-GGA.

Mass density: 2.752 Mg/m³
Electronic total energy: -2.86 eV per atom
Formation energy from raw total energies: -0.939 eV/atom
Total magnetic moment: 0.00 Bohr magnetons per cell
Calculated volume: 405 Å³ per cell

Cell: 7.915 7.915 10.966 Å, 117.52 117.52 42.81°
Fractional positions:
Rb 0.019 0.019 0.167
Rb 0.294 0.294 0.943
Rb 0.315 0.315 0.348
Rb 0.685 0.685 0.652
Rb 0.706 0.706 0.057
Rb 0.981 0.981 0.833
I 0.000 0.000 0.500
O 0.170 0.170 0.079
O 0.830 0.830 0.921

=====

This record from the Alexandria database describes a relaxed structure of LiInGaHg. The functional is PBE-GGA.

Mass density: 7.566 Mg/m³
Electronic total energy: -2.12 eV per atom
Total magnetic moment: 0.00 Bohr magnetons per cell
Calculated volume: 344 Å³ per cell

Cell: 7.008 7.008 7.008 Å, 90.00 90.00 90.00°
Fractional positions:
Li 0.000 0.000 0.000
Li 0.000 0.500 0.500
Li 0.500 0.000 0.500
Li 0.500 0.500 0.000
In 0.000 0.000 0.500
In 0.000 0.500 0.000
In 0.500 0.000 0.000
In 0.500 0.500 0.500
Ga 0.250 0.250 0.250
Ga 0.250 0.750 0.750
Ga 0.750 0.250 0.750
Ga 0.750 0.750 0.250
Hg 0.250 0.250 0.750
Hg 0.250 0.750 0.250
Hg 0.750 0.250 0.250
Hg 0.750 0.750 0.750

=====

This record from the Alexandria database describes a relaxed structure of Cu2SbAs. The functional is PBE-GGA.

Mass density: 7.410 Mg/m³
Electronic total energy: -3.82 eV per atom
Formation energy from raw total energies: 0.420 eV/atom
Total magnetic moment: 0.00 Bohr magnetons per cell
Calculated volume: 290 Å³ per cell

Cell: 6.621 6.621 6.621 Å, 90.00 90.00 90.00°
Fractional positions:
Cu 0.000 0.000 0.000
Cu 0.000 0.500 0.500
Cu 0.250 0.250 0.250
Cu 0.250 0.750 0.750
Cu 0.500 0.000 0.500
Cu 0.500 0.500 0.000
Cu 0.750 0.250 0.750
Cu 0.750 0.750 0.250
Sb 0.000 0.000 0.500
Sb 0.000 0.500 0.000
Sb 0.500 0.000 0.000
Sb 0.500 0.500 0.500
As 0.250 0.250 0.750
As 0.250 0.750 0.250
As 0.750 0.250 0.250
As 0.750 0.750 0.750